No. 1
PtC | GGA-PBE | optimized geometry

## Properties
* symmetry: No. 191

Cell lengths 5.5701, 5.5701, 2.9166 Å; angles 90.00, 90.00, 120.00 degrees
With the nearest neighbours (Å) after each atom.
Positions (direct):
Pt 0.5000 0.5000 0.0000  4 C 2.17
Pt 0.5000 0.0000 0.0000  4 C 2.17
C 0.6667 0.3333 0.5000  6 Pt 2.17
C 0.0000 0.0000 0.0000  6 Pt 2.79, 2 C 2.92
C 0.3333 0.6667 0.5000  6 Pt 2.17
Pt 0.0000 0.5000 0.0000  4 C 2.17

No. 2
Pt5C | GGA-PBE | optimized geometry

## Properties
* symmetry: No. 8

Cell lengths 4.8160, 4.8160, 7.2814 Å; angles 71.11, 71.11, 33.57 degrees
With the nearest neighbours (Å) after each atom.
Positions (direct):
Pt 0.4809 0.4809 0.9219  2 C 2.15
C 0.0051 0.0051 0.1350  6 Pt 2.13-2.16
Pt 0.6779 0.6779 0.1422  2 C 2.13
Pt 0.0440 0.0440 0.5595  10 Pt 2.76-3.04
Pt 0.3578 0.3578 0.3410  2 C 2.16
Pt 0.2676 0.2676 0.7338  9 Pt 2.70-2.89

No. 3
Pt5C | GGA-PBE | optimized geometry

## Properties
* symmetry: No. 123

Cell lengths 2.7721, 2.7721, 11.0642 Å; angles 90.00, 90.00, 90.00 degrees
With the nearest neighbours (Å) after each atom.
Positions (direct):
Pt 0.5000 0.5000 0.3160  12 Pt 2.77-2.89
Pt 0.5000 0.5000 0.6840  12 Pt 2.77-2.89
C 0.5000 0.5000 0.0000  8 Pt 2.40
Pt 0.0000 0.0000 0.5000  12 Pt 2.77-2.83
Pt 0.0000 0.0000 0.1245  4 C 2.40
Pt 0.0000 0.0000 0.8755  4 C 2.40

No. 4
Pt3C | GGA-PBE | optimized geometry

## Properties
* symmetry: No. 63

Cell lengths 5.9064, 5.9064, 3.7193 Å; angles 90.00, 90.00, 95.71 degrees
With the nearest neighbours (Å) after each atom.
Positions (direct):
Pt 0.1151 0.8849 0.7500  1 C 1.94
Pt 0.6182 0.8416 0.7500  1 C 1.88
C 0.6638 0.3362 0.2500  3 Pt 1.88-1.94
Pt 0.1584 0.3818 0.7500  1 C 1.88
Pt 0.3818 0.1584 0.2500  1 C 1.88
Pt 0.8849 0.1151 0.2500  1 C 1.94
C 0.3362 0.6638 0.7500  3 Pt 1.88-1.94
Pt 0.8416 0.6182 0.2500  1 C 1.88

No. 5
Pt6C7 | GGA-PBE | optimized geometry

## Properties
* symmetry: No. 166

Cell lengths 11.5006, 11.5006, 11.5006 Å; angles 20.29, 20.29, 20.29 degrees
With the nearest neighbours (Å) after each atom.
Positions (direct):
Pt 0.8062 0.8062 0.8062  3 C 2.06
C 0.4504 0.8056 0.4504  2 C 1.44
Pt 0.1938 0.1938 0.1938  3 C 2.06
Pt 0.6831 0.6831 0.6831  6 Pt 2.59-2.71
Pt 0.0567 0.0567 0.0567  6 C 2.48, 3 Pt 2.71
C 0.1944 0.5496 0.5496  2 C 1.44
C 0.5496 0.1944 0.5496  2 C 1.44
C 0.4504 0.4504 0.8056  2 C 1.44
C 0.5496 0.5496 0.1944  2 C 1.44
C 0.8056 0.4504 0.4504  2 C 1.44
Pt 0.3169 0.3169 0.3169  6 Pt 2.59-2.71
Pt 0.9433 0.9433 0.9433  6 C 2.48, 3 Pt 2.71
C 0.5000 0.5000 0.5000  6 C 2.47, 6 Pt 2.51

No. 6
Pt3C | GGA-PBE | optimized geometry

## Properties
* symmetry: No. 63

Cell lengths 6.4073, 6.4073, 2.7843 Å; angles 90.00, 90.00, 103.55 degrees
With the nearest neighbours (Å) after each atom.
Positions (direct):
Pt 0.4469 0.2011 0.2500  2 C 2.14
C 0.7050 0.2950 0.7500  6 Pt 2.14-2.20
Pt 0.7989 0.5531 0.2500  2 C 2.14
Pt 0.5531 0.7989 0.7500  2 C 2.14
Pt 0.1260 0.8740 0.7500  2 C 2.20
Pt 0.2011 0.4469 0.7500  2 C 2.14
Pt 0.8740 0.1260 0.2500  2 C 2.20
C 0.2950 0.7050 0.2500  6 Pt 2.14-2.20

No. 7
PtC3 | GGA-PBE | optimized geometry

## Properties
* symmetry: No. 71

Cell lengths 4.7668, 4.7668, 4.7668 Å; angles 148.49, 127.99, 62.09 degrees
With the nearest neighbours (Å) after each atom.
Positions (direct):
C 0.0000 0.5000 0.5000  4 C 1.60
Pt 0.5000 0.0000 0.5000  8 C 2.29-2.46
C 0.8852 0.8852 0.0000  2 C 1.60
C 0.1148 0.1148 0.0000  2 C 1.60

No. 8
PtC3 | GGA-PBE | optimized geometry

## Properties
* symmetry: No. 139

Cell lengths 3.8220, 3.8220, 3.8220 Å; angles 123.21, 123.21, 84.52 degrees
With the nearest neighbours (Å) after each atom.
Positions (direct):
Pt 0.0000 0.0000 0.0000  12 C 2.30-2.57
C 0.2500 0.7500 0.5000  8 C 2.30-2.57, 4 Pt 2.30
C 0.5000 0.5000 0.0000  8 C 2.30, 4 Pt 2.57
C 0.7500 0.2500 0.5000  4 Pt 2.30, 8 C 2.30-2.57

No. 9
PtC4 | GGA-PBE | optimized geometry

## Properties
* symmetry: No. 139

Cell lengths 4.3801, 4.3801, 4.3801 Å; angles 106.16, 106.16, 116.32 degrees
With the nearest neighbours (Å) after each atom.
Positions (direct):
C 0.3776 0.0000 0.3776  1 C 1.29
Pt 0.0000 0.0000 0.0000  4 C 1.99
C 0.6224 0.0000 0.6224  1 C 1.29
C 0.0000 0.6224 0.6224  1 C 1.29
C 0.0000 0.3776 0.3776  1 C 1.29

No. 10
PtC | GGA-PBE | optimized geometry

## Properties
* symmetry: No. 166

Cell lengths 5.6794, 5.6794, 5.6794 Å; angles 35.61, 35.61, 35.61 degrees
With the nearest neighbours (Å) after each atom.
Positions (direct):
C 0.2742 0.2742 0.2742  4 Pt 2.03-2.21
Pt 0.4131 0.4131 0.4131  4 C 2.03-2.21
C 0.7258 0.7258 0.7258  4 Pt 2.03-2.21
Pt 0.5869 0.5869 0.5869  4 C 2.03-2.21

No. 11
PtC | GGA-PBE | optimized geometry

## Properties
* symmetry: No. 31

Cell lengths 8.7048, 3.2358, 6.2997 Å; angles 90.00, 90.00, 90.00 degrees
With the nearest neighbours (Å) after each atom.
Positions (direct):
Pt 0.5000 0.4795 0.1403  4 C 2.08-2.09
C 0.0000 0.0179 0.4313  4 Pt 2.06-2.09
Pt 0.7821 0.1380 0.3200  4 C 1.99-2.17
Pt 0.7179 0.8620 0.8200  4 C 1.99-2.17
C 0.2316 0.3564 0.6452  4 Pt 1.99-2.17
C 0.2684 0.6436 0.1452  4 Pt 1.99-2.17
C 0.7684 0.3564 0.6452  4 Pt 1.99-2.17
C 0.5000 0.9821 0.9313  4 Pt 2.06-2.09
C 0.7316 0.6436 0.1452  4 Pt 1.99-2.17
Pt 0.2179 0.1380 0.3200  4 C 1.99-2.17
Pt 0.0000 0.5205 0.6403  4 C 2.08-2.09
Pt 0.2821 0.8620 0.8200  4 C 1.99-2.17

No. 12
PtC | GGA-PBE | optimized geometry

## Properties
* symmetry: No. 62

Cell lengths 2.9423, 5.3424, 6.0523 Å; angles 90.00, 90.00, 90.00 degrees
With the nearest neighbours (Å) after each atom.
Positions (direct):
C 0.2500 0.3697 0.3600  3 Pt 2.08-2.13
Pt 0.7500 0.2615 0.0725  3 C 2.08-2.13
C 0.2500 0.1303 0.8600  3 Pt 2.08-2.13
Pt 0.2500 0.7385 0.9275  3 C 2.08-2.13
Pt 0.7500 0.2385 0.5725  3 C 2.08-2.13
C 0.7500 0.6303 0.6400  3 Pt 2.08-2.13
Pt 0.2500 0.7615 0.4275  3 C 2.08-2.13
C 0.7500 0.8697 0.1400  3 Pt 2.08-2.13

No. 13
PtC | GGA-PBE | optimized geometry

## Properties
* symmetry: No. 189

Cell lengths 5.3227, 5.3227, 2.9789 Å; angles 90.00, 90.00, 120.00 degrees
With the nearest neighbours (Å) after each atom.
Positions (direct):
Pt 0.3689 0.0000 0.0000  1 C 1.96
C 0.0000 0.0000 0.0000  3 Pt 1.96
Pt 0.0000 0.3689 0.0000  1 C 1.96
C 0.3333 0.6667 0.5000  6 Pt 2.25
C 0.6667 0.3333 0.5000  6 Pt 2.25
Pt 0.6311 0.6311 0.0000  1 C 1.96

No. 14
Pt4C | GGA-PBE | optimized geometry

## Properties
* symmetry: No. 87

Cell lengths 4.6291, 4.6291, 4.6291 Å; angles 108.27, 108.27, 111.89 degrees
With the nearest neighbours (Å) after each atom.
Positions (direct):
Pt 0.6863 0.8097 0.4959  1 C 1.99
Pt 0.3137 0.1903 0.5041  1 C 1.99
Pt 0.1903 0.6863 0.8766  1 C 1.99
C 0.0000 0.0000 0.0000  4 Pt 1.99
Pt 0.8097 0.3137 0.1234  1 C 1.99

No. 15
PtC | GGA-PBE | optimized geometry

## Properties
* symmetry: No. 8

Cell lengths 3.3034, 3.3034, 10.0849 Å; angles 91.89, 91.89, 59.98 degrees
With the nearest neighbours (Å) after each atom.
Positions (direct):
C 0.9495 0.9495 0.9889  3 Pt 1.95
C 0.6385 0.6385 0.2909  3 Pt 1.99
Pt 0.3091 0.3091 0.3474  3 C 1.99
Pt 0.2854 0.2854 0.0287  3 C 1.95
Pt 0.9902 0.9902 0.5605  3 C 1.99
C 0.6607 0.6607 0.6170  3 Pt 1.99

No. 16
Pt4C5 | GGA-PBE | optimized geometry

## Properties
* symmetry: No. 139

Cell lengths 7.0151, 7.0151, 7.0151 Å; angles 91.99, 91.99, 158.51 degrees
With the nearest neighbours (Å) after each atom.
Positions (direct):
C 0.0000 0.0000 0.0000  4 Pt 1.99
Pt 0.0000 0.2046 0.2046  3 C 1.99-2.19
Pt 0.2046 0.0000 0.2046  3 C 1.99-2.19
C 0.7757 0.2243 0.0000  2 C 1.49
Pt 0.7954 0.0000 0.7954  3 C 1.99-2.19
Pt 0.0000 0.7954 0.7954  3 C 1.99-2.19
C 0.7757 0.7757 0.5515  2 C 1.49
C 0.2243 0.2243 0.4485  2 C 1.49
C 0.2243 0.7757 0.0000  2 C 1.49

No. 17
PtC | GGA-PBE | optimized geometry

## Properties
* symmetry: No. 166

Cell lengths 7.5431, 7.5431, 7.5431 Å; angles 25.01, 25.01, 25.01 degrees
With the nearest neighbours (Å) after each atom.
Positions (direct):
Pt 0.4913 0.4913 0.4913  3 C 1.98
C 0.7971 0.7971 0.7971  3 Pt 1.98
Pt 0.2587 0.2587 0.2587  3 C 1.98
C 0.9529 0.9529 0.9529  3 Pt 1.98

No. 18
PtC | GGA-PBE | optimized geometry

## Properties
* symmetry: No. 51

Cell lengths 2.9735, 5.6684, 3.0948 Å; angles 90.00, 90.00, 90.00 degrees
With the nearest neighbours (Å) after each atom.
Positions (direct):
C 0.0000 0.5000 0.5844  2 Pt 1.97
Pt 0.5000 0.0000 0.1655  2 C 1.97
C 0.0000 0.0000 0.7490  2 Pt 1.97
Pt 0.5000 0.5000 0.1678  2 C 1.97

No. 19
PtC | GGA-PBE | optimized geometry

## Properties
* symmetry: No. 223

Cell lengths 5.7986, 5.7986, 5.7986 Å; angles 90.00, 90.00, 90.00 degrees
With the nearest neighbours (Å) after each atom.
Positions (direct):
Pt 0.7500 0.5000 0.0000  4 C 2.05
C 0.0000 0.5000 0.2500  4 Pt 2.05
C 0.5000 0.7500 0.0000  4 Pt 2.05
C 0.0000 0.5000 0.7500  4 Pt 2.05
Pt 0.5000 0.0000 0.7500  4 C 2.05
Pt 0.0000 0.7500 0.5000  4 C 2.05
Pt 0.0000 0.2500 0.5000  4 C 2.05
Pt 0.2500 0.5000 0.0000  4 C 2.05
C 0.2500 0.0000 0.5000  4 Pt 2.05
C 0.5000 0.2500 0.0000  4 Pt 2.05
C 0.7500 0.0000 0.5000  4 Pt 2.05
Pt 0.5000 0.0000 0.2500  4 C 2.05

No. 20
PtC | GGA-PBE | optimized geometry

## Properties
* symmetry: No. 176

Cell lengths 8.2257, 8.2257, 3.1096 Å; angles 90.00, 90.00, 120.00 degrees
With the nearest neighbours (Å) after each atom.
Positions (direct):
Pt 0.4460 0.1175 0.2500  3 C 1.97-2.04
Pt 0.6714 0.5540 0.2500  3 C 1.97-2.04
C 0.6231 0.6857 0.7500  3 Pt 1.97-2.04
Pt 0.8825 0.3286 0.2500  3 C 1.97-2.04
Pt 0.5540 0.8825 0.7500  3 C 1.97-2.04
C 0.0626 0.3769 0.7500  3 Pt 1.97-2.04
Pt 0.1175 0.6714 0.7500  3 C 1.97-2.04
C 0.3769 0.3143 0.2500  3 Pt 1.97-2.04
C 0.6857 0.0626 0.2500  3 Pt 1.97-2.04
C 0.3143 0.9374 0.7500  3 Pt 1.97-2.04
C 0.9374 0.6231 0.2500  3 Pt 1.97-2.04
Pt 0.3286 0.4460 0.7500  3 C 1.97-2.04

No. 21
Pt3C | GGA-PBE | optimized geometry

## Properties
* symmetry: No. 187

Cell lengths 2.9567, 2.9567, 7.2787 Å; angles 90.00, 90.00, 120.00 degrees
With the nearest neighbours (Å) after each atom.
Positions (direct):
C 0.0000 0.0000 0.0000  6 Pt 2.17
Pt 0.6667 0.3333 0.1831  3 C 2.17
Pt 0.6667 0.3333 0.8169  3 C 2.17
Pt 0.0000 0.0000 0.5000  12 Pt 2.87-2.96

No. 22
PtC | GGA-PBE | optimized geometry

## Properties
* symmetry: No. 65

Cell lengths 4.3302, 4.3302, 3.7546 Å; angles 90.00, 90.00, 95.35 degrees
With the nearest neighbours (Å) after each atom.
Positions (direct):
Pt 0.0000 0.0000 0.0000  4 C 2.17
C 0.0000 0.5000 0.0000  2 C 2.17, 6 Pt 2.17-2.39
Pt 0.2954 0.7046 0.5000  6 C 2.29-2.39
C 0.5000 0.0000 0.0000  6 Pt 2.17-2.39, 2 C 2.17
C 0.5000 0.5000 0.0000  4 C 2.17, 4 Pt 2.29
Pt 0.7046 0.2954 0.5000  6 C 2.29-2.39

No. 23
Pt4C | GGA-PBE | optimized geometry

## Properties
* symmetry: No. 164

Cell lengths 2.8106, 2.8106, 10.6273 Å; angles 90.00, 90.00, 120.00 degrees
With the nearest neighbours (Å) after each atom.
Positions (direct):
C 0.0000 0.0000 0.0000  6 Pt 2.17
Pt 0.3333 0.6667 0.6121  10 Pt 2.68-2.88
Pt 0.6667 0.3333 0.1360  3 C 2.17
Pt 0.6667 0.3333 0.3879  10 Pt 2.68-2.88
Pt 0.3333 0.6667 0.8640  3 C 2.17

No. 24
Pt3C | GGA-PBE | optimized geometry

## Properties
* symmetry: No. 225

Cell lengths 4.3255, 4.3255, 4.3255 Å; angles 60.00, 60.00, 60.00 degrees
With the nearest neighbours (Å) after each atom.
Positions (direct):
Pt 0.7500 0.7500 0.7500  4 C 2.65, 4 Pt 2.65
Pt 0.5000 0.5000 0.5000  8 Pt 2.65
C 0.0000 0.0000 0.0000  8 Pt 2.65
Pt 0.2500 0.2500 0.2500  4 Pt 2.65, 4 C 2.65

No. 25
PtC4 | GGA-PBE | optimized geometry

## Properties
* symmetry: No. 139

Cell lengths 3.9240, 3.9240, 3.9240 Å; angles 122.71, 122.71, 85.37 degrees
With the nearest neighbours (Å) after each atom.
Positions (direct):
C 0.7500 0.2500 0.5000  4 C 2.00
C 0.2500 0.7500 0.5000  4 C 2.00
C 0.3696 0.3696 0.0000  1 C 1.50
C 0.6304 0.6304 0.0000  1 C 1.50
Pt 0.0000 0.0000 0.0000  10 C 2.13-2.37

No. 26
PtC | GGA-PBE | optimized geometry

## Properties
* symmetry: No. 194

Cell lengths 4.7568, 4.7568, 5.2824 Å; angles 90.00, 90.00, 120.00 degrees
With the nearest neighbours (Å) after each atom.
Positions (direct):
C 0.3333 0.6667 0.3725  1 C 1.29
Pt 0.6667 0.3333 0.2500  2 C 1.99
C 0.3333 0.6667 0.1275  1 C 1.29
Pt 0.0000 0.0000 0.2500  5 Pt 2.64-2.75, 6 C 2.82
Pt 0.0000 0.0000 0.7500  5 Pt 2.64-2.75, 6 C 2.82
C 0.6667 0.3333 0.8725  1 C 1.29
C 0.6667 0.3333 0.6275  1 C 1.29
Pt 0.3333 0.6667 0.7500  2 C 1.99

Number 1: volume 78.4 Å³/cell, energy relative to the elements 1730 meV per atom. Number 2: volume 87.9 Å³/cell, energy relative to the elements 424 meV per atom. Number 3: volume 85.0 Å³/cell, energy relative to the elements 587 meV per atom. Number 4: volume 129.1 Å³/cell, energy relative to the elements 433 meV per atom. Number 5: volume 160.0 Å³/cell, energy relative to the elements 1576 meV per atom. Number 6: volume 111.1 Å³/cell, energy relative to the elements 549 meV per atom. Number 7: volume 44.2 Å³/cell, energy relative to the elements 2210 meV per atom. Number 8: volume 37.4 Å³/cell, energy relative to the elements 3125 meV per atom. Number 9: volume 64.0 Å³/cell, energy relative to the elements 1481 meV per atom. Number 10: volume 55.5 Å³/cell, energy relative to the elements 1199 meV per atom. Number 11: volume 177.4 Å³/cell, energy relative to the elements 1122 meV per atom. Number 12: volume 95.1 Å³/cell, energy relative to the elements 1263 meV per atom. Number 13: volume 73.1 Å³/cell, energy relative to the elements 1243 meV per atom. Number 14: volume 76.3 Å³/cell, energy relative to the elements 480 meV per atom. Number 15: volume 95.2 Å³/cell, energy relative to the elements 1122 meV per atom. Number 16: volume 124.2 Å³/cell, energy relative to the elements 828 meV per atom. Number 17: volume 67.5 Å³/cell, energy relative to the elements 1064 meV per atom. Number 18: volume 52.2 Å³/cell, energy relative to the elements 1308 meV per atom. Number 19: volume 195.0 Å³/cell, energy relative to the elements 1092 meV per atom. Number 20: volume 182.2 Å³/cell, energy relative to the elements 1018 meV per atom. Number 21: volume 55.1 Å³/cell, energy relative to the elements 569 meV per atom. Number 22: volume 70.1 Å³/cell, energy relative to the elements 1661 meV per atom. Number 23: volume 72.7 Å³/cell, energy relative to the elements 608 meV per atom. Number 24: volume 57.2 Å³/cell, energy relative to the elements 1326 meV per atom. Number 25: volume 40.8 Å³/cell, energy relative to the elements 2748 meV per atom. Number 26: volume 103.5 Å³/cell, energy relative to the elements 1161 meV per atom.